Record 1
Compound: CoTeS2N
Source: the Alexandria database
Functional: PBE-GGA
Structure: relaxed

Computed properties:
D(E_F) (states/eV/f.u.): 13.5
Calculated volume (Å³/atom): 25.09
Energy relative to the lowest polymorph listed for this composition (meV/atom): 1658
Formation energy without anion corrections (eV per atom): 2.125
Energy (eV per cell): -16.20

Cell: 5.0937 5.0937 4.8350 Å, 90.00 90.00 90.00°
Closest atoms and distances in Å follow each position.
Space group P4/mmm (No. 123)
One atom of each set of equivalent atoms:
Co1 0.0000 0.0000 0.0000  2 Te 2.42
Te1 0.0000 0.0000 0.5000  2 Co 2.42, 4 S 2.55
S1 0.0000 0.5000 0.5000  2 Te 2.55
N1 0.5000 0.5000 0.0000  8 S 3.51, 4 Co 3.60

=====

Record 2
Compound: Na2BiPb2
Source: the Alexandria database
Functional: PBE-GGA
Structure: relaxed

Computed properties:
D(E_F) (states/eV/f.u.): 2.6
ΔH_f (0 K) (eV per formula unit): 0.210
Calculated volume (Å³/atom): 31.86
Energy relative to the lowest polymorph listed for this composition (meV/atom): 187
Energy (eV per cell): -27.45

Cell: 4.5194 4.5194 15.5985 Å, 90.00 90.00 90.00°
Closest atoms and distances in Å follow each position.
Space group I4/mmm (No. 139)
One atom of each set of equivalent atoms:
Na1 0.0000 0.5000 0.2500  4 Na 3.20, 4 Pb 3.30
Bi1 0.0000 0.0000 0.0000  8 Pb 3.53
Pb1 0.0000 0.0000 0.4044  1 Pb 2.98, 4 Na 3.30

=====

Record 3
Compound: GaSb2PI
Source: the Alexandria database
Functional: PBE-GGA
Structure: relaxed

Computed properties:
D(E_F) (states/eV/f.u.): 4.7
Calculated volume (Å³/atom): 30.54
Energy relative to the lowest polymorph listed for this composition (meV/atom): 382
Formation energy without anion corrections (eV per atom): 0.921
Energy (eV per cell): -13.63

Cell: 5.3833 5.3833 5.2683 Å, 90.00 90.00 90.00°
Closest atoms and distances in Å follow each position.
Space group P4/mmm (No. 123)
One atom of each set of equivalent atoms:
Ga1 0.0000 0.0000 0.0000  2 I 2.63, 4 Sb 2.69
Sb1 0.0000 0.5000 0.0000  2 Ga 2.69
P1 0.5000 0.5000 0.5000  8 Sb 3.77, 4 I 3.81
I1 0.0000 0.0000 0.5000  2 Ga 2.63

=====

Record 4
Compound: Ta4BAs
Source: the Alexandria database
Functional: PBE-GGA
Structure: relaxed

Computed properties:
D(E_F) (states/eV/f.u.): 2.5
ΔH_f (0 K) (eV per formula unit): -2.602
Calculated volume (Å³/atom): 15.38
Energy (eV per cell): -122.68

Cell: 5.9734 5.9734 5.1727 Å, 90.00 90.00 90.00°
Closest atoms and distances in Å follow each position.
Space group P4/mcc (No. 124)
One atom of each set of equivalent atoms:
Ta1 0.1447 0.3153 0.0000  2 B 2.44, 2 As 2.72
B1 0.0000 0.0000 0.2500  8 Ta 2.44, 2 B 2.59
As1 0.5000 0.5000 0.2500  2 As 2.59, 8 Ta 2.72

=====

Record 5
Compound: Tc2HgC
Source: the Alexandria database
Functional: PBE-GGA
Structure: relaxed

Computed properties:
D(E_F) (states/eV/f.u.): 5.3
ΔH_f (0 K) (eV per formula unit): 6.658
Calculated volume (Å³/atom): 14.12
Energy relative to the lowest polymorph listed for this composition (meV/atom): 647
Energy (eV per cell): -94.40

Cell: 6.0901 6.0901 6.0901 Å, 90.00 90.00 90.00°
Closest atoms and distances in Å follow each position.
Space group Fm-3m (No. 225)
One atom of each set of equivalent atoms:
Tc1 0.2500 0.2500 0.2500  4 C 2.64, 4 Hg 2.64
Hg1 0.0000 0.0000 0.0000  8 Tc 2.64
C1 0.0000 0.0000 0.5000  8 Tc 2.64

=====

Record 6
Compound: Na6UN4
Source: the Alexandria database
Functional: PBE-GGA
Structure: relaxed

Computed properties:
D(E_F) (states/eV/f.u.): 0.6
Calculated volume (Å³/atom): 16.69
Formation energy without anion corrections (eV per atom): -0.274
Energy (eV per cell): -111.05

Cell: 8.0378 8.0378 5.6838 Å, 90.00 90.00 90.00°
Closest atoms and distances in Å follow each position.
Space group P4_2/nmc (No. 137, origin choice 2)
One atom of each set of equivalent atoms:
Na1 0.0411 0.5411 0.2500  4 N 2.55-2.56
Na2 0.2500 0.2500 0.1400  4 N 2.50-2.65
U1 0.2500 0.7500 0.7500  4 N 2.10
N1 0.0163 0.7500 0.5863  1 U 2.10

=====

Record 7
Compound: Sm6Bi5
Source: the Alexandria database
Functional: PBE-GGA
Structure: relaxed

Computed properties:
D(E_F) (states/eV/f.u.): 5.7
ΔH_f (0 K) (eV per formula unit): -8.289
Calculated volume (Å³/atom): 35.30
Energy (eV per cell): -112.02

Cell: 7.7981 13.4807 7.8363 Å, 90.00 109.47 90.00°
Closest atoms and distances in Å follow each position.
Space group C2/m (No. 12)
One atom of each set of equivalent atoms:
Sm1 0.2480 0.0000 0.2449  5 Bi 3.17-3.19
Sm2 0.2476 0.1659 0.7462  5 Bi 3.18-3.20
Bi1 0.0000 0.1701 0.0000  6 Sm 3.18-3.20
Bi2 0.0000 0.3347 0.5000  6 Sm 3.18-3.19
Bi3 0.0000 0.5000 0.0000  6 Sm 3.17-3.20

=====

Record 8
Compound: UCd2PbO6
Source: the Alexandria database
Functional: PBE-GGA
Structure: relaxed

Computed properties:
D(E_F) (states/eV/f.u.): 0.0
Calculated volume (Å³/atom): 15.98
Formation energy without anion corrections (eV per atom): -1.883
Energy (eV per cell): -196.21

Cell: 5.9973 5.9973 15.3917 Å, 90.00 90.00 120.00°
Closest atoms and distances in Å follow each position.
Space group R-3 (No. 148, hexagonal axes)
One atom of each set of equivalent atoms:
U1 0.0000 0.0000 0.0000  6 O 2.11
Cd1 0.0000 0.0000 0.2149  3 O 2.23
Pb1 0.0000 0.0000 0.5000  6 O 2.55
O1 0.0044 0.7229 0.9169  1 U 2.11, 1 Cd 2.23

=====

Record 9
Compound: LaAlGaPd3
Source: the Alexandria database
Functional: PBE-GGA
Structure: relaxed

Computed properties:
D(E_F) (states/eV/f.u.): 2.6
ΔH_f (0 K) (eV per formula unit): -4.155
Calculated volume (Å³/atom): 19.98
Energy (eV per cell): -125.72

Cell: 6.6968 12.4443 5.7527 Å, 90.00 90.00 90.00°
Closest atoms and distances in Å follow each position.
Space group Cmcm (No. 63)
One atom of each set of equivalent atoms:
La1 0.0000 0.2122 0.2500  2 Ga 3.05, 1 Al 3.16, 8 Pd 3.24-3.39
Al1 0.0000 0.4665 0.2500  5 Pd 2.46-2.51
Ga1 0.0000 0.1295 0.7500  5 Pd 2.52-2.57
Pd1 0.0000 0.3318 0.7500  1 Al 2.51, 1 Ga 2.52
Pd2 0.2078 0.0000 0.0000  2 Al 2.46, 2 Ga 2.57

=====

Record 10
Compound: Nd3Zn2Ni9Sn
Source: the Alexandria database
Functional: PBE-GGA
Structure: relaxed

Computed properties:
D(E_F) (states/eV/f.u.): 8.9
ΔH_f (0 K) (eV per formula unit): -1.071
Calculated volume (Å³/atom): 18.61
Energy (eV per cell): -73.96

Cell: 5.2433 5.2433 11.7221 Å, 90.00 90.00 120.00°
Closest atoms and distances in Å follow each position.
Space group P-3m1 (No. 164)
One atom of each set of equivalent atoms:
Nd1 0.0000 0.0000 0.0000  6 Ni 2.62
Nd2 0.3333 0.6667 0.7627  9 Ni 2.85-3.17, 3 Zn 3.15
Zn1 0.3333 0.6667 0.1628  6 Ni 2.44-2.46
Ni1 0.0000 0.5000 0.0000  2 Zn 2.44, 4 Ni 2.62, 2 Nd 2.62
Ni2 0.1747 0.3493 0.3324  1 Zn 2.46, 4 Ni 2.50-2.75, 1 Sn 2.53
Sn1 0.0000 0.0000 0.5000  6 Ni 2.53

=====

Record 11
Compound: SrZn2Mo
Source: the Alexandria database
Functional: PBE-GGA
Structure: relaxed

Computed properties:
D(E_F) (states/eV/f.u.): 1.9
ΔH_f (0 K) (eV per formula unit): 1.964
Calculated volume (Å³/atom): 20.37
Energy relative to the lowest polymorph listed for this composition (meV/atom): 207
Energy (eV per cell): -26.19

Cell: 10.0984 2.9712 5.6236 Å, 90.00 105.08 90.00°
Closest atoms and distances in Å follow each position.
Space group Cm (No. 8)
One atom of each set of equivalent atoms:
Sr1 0.0000 0.0000 0.0000  2 Sr 2.97, 5 Zn 3.05-3.10
Zn1 0.2663 0.5000 0.2640  2 Mo 2.70, 4 Zn 2.70-2.97
Zn2 0.4797 0.0000 0.5191  4 Zn 2.70-2.97, 3 Mo 2.73-2.90
Mo1 0.2146 0.0000 0.6306  5 Zn 2.70-2.90, 2 Mo 2.97

=====

Record 12
Compound: CaMnZnGa2
Source: the Alexandria database
Functional: PBE-GGA
Structure: relaxed

Computed properties:
D(E_F) (states/eV/f.u.): 1.7
ΔH_f (0 K) (eV per formula unit): -0.735
Calculated volume (Å³/atom): 20.16
Energy (eV per cell): -19.23

Cell: 4.6190 4.6190 4.7257 Å, 90.00 90.00 90.00°
Closest atoms and distances in Å follow each position.
Space group P4/mmm (No. 123)
One atom of each set of equivalent atoms:
Ca1 0.0000 0.0000 0.0000  4 Zn 3.27, 8 Ga 3.30
Mn1 0.5000 0.5000 0.5000  4 Ga 2.31, 2 Zn 2.36
Zn1 0.5000 0.5000 0.0000  2 Mn 2.36
Ga1 0.0000 0.5000 0.5000  2 Mn 2.31

=====

What is the calculated volume in the fifth record? 14.12 Å³/atom